# SrErRe2N6

SrErRe2N6 after structural relaxation (PBE-GGA, the Alexandria database).

Output
Space-group type ... No. 15
ΔE_f (raw) ... -0.573 eV per atom
Size of the total moment ... 0.000 μB/f.u.

Geometry as POSCAR:
```
SrErRe2N6
1.0
-5.9743 1.3484 2.0641
-3.8995 -6.5071 -0.1049
-0.0582 -1.1314 7.5017
Sr Er Re N
2 2 4 12
Cartesian
-5.0361 -5.6705 1.1180 Sr
-4.8959 -0.6197 8.3429 Sr
-2.6896 -2.3867 5.7645 Er
-7.2424 -3.9034 3.6964 Er
-4.9511 -5.4592 5.2244 Re
-2.6465 -2.4187 1.9118 Re
-4.9809 -0.8310 4.2366 Re
-7.2855 -3.8714 7.5491 Re
-1.1703 -0.6119 6.0235 N
-2.8962 -2.3243 8.1053 N
-8.7618 -5.6782 3.4374 N
-7.0358 -3.9658 1.3557 N
-5.4897 -5.4196 3.5315 N
-3.2230 -4.0186 1.3968 N
-4.4424 -0.8705 5.9294 N
-6.7090 -2.2715 8.0642 N
-3.1496 -4.8039 5.2466 N
-3.6450 -1.9501 3.4799 N
-6.7824 -1.4862 4.2144 N
-6.2870 -4.3400 5.9810 N
```


# BeRe2PN

BeRe2PN after structural relaxation (PBE-GGA, the Alexandria database).

Output
Space-group type ... No. 123
ΔE_f (raw) ... 0.897 eV per atom
Size of the total moment ... 0.000 μB/f.u.

Geometry as POSCAR:
```
BeRe2PN
1.0
-1.0925 -1.4569 -3.5271
3.9201 0.4048 -1.3815
0.8239 -3.6723 1.2617
Re N Be P
2 1 1 1
Cartesian
0.4119 -1.8361 0.6309 Re
-0.5462 -0.7285 -1.7635 Re
0.0000 0.0000 0.0000 N
1.8257 -2.3622 -1.8234 Be
1.9601 0.2024 -0.6907 P
```


# Th5Mn2Tl2

Th5Mn2Tl2 after structural relaxation (PBE-GGA, the Alexandria database).

Output
Space-group type ... No. 64
Size of the total moment ... 1.366 μB/f.u.
Formation enthalpy at 0 K ... 0.0 eV/f.u.

Geometry as POSCAR:
```
Th5Mn2Tl2
1.0
-6.5294 -4.4932 -2.6559
3.1779 -5.9862 2.3148
-6.9126 -1.3209 6.0741
Th Mn Tl
10 4 4
Cartesian
0.0000 0.0000 0.0000 Th
-1.6758 -5.2397 -0.1706 Th
-7.7311 -3.8700 3.9273 Th
-7.8307 -9.6612 4.6025 Th
-5.2021 -6.2162 5.4671 Th
-10.3597 -7.3149 3.0627 Th
-2.5332 -7.9304 1.8056 Th
-2.4335 -2.1392 1.1305 Th
-5.0621 -5.5842 0.2659 Th
0.0954 -4.4855 2.6702 Th
0.4658 -2.6176 0.5569 Mn
-3.8174 -7.8618 -0.8981 Mn
0.1433 -6.9262 0.9368 Mn
-3.4948 -3.5533 -1.2780 Mn
-5.3088 -1.7279 2.8198 Tl
-6.9846 -6.9676 2.6492 Tl
-8.1333 -4.0862 0.5984 Tl
-3.2796 -4.8327 3.0838 Tl
```


# RbZn2Sb2

RbZn2Sb2 after structural relaxation (PBE-GGA, the Alexandria database).

Output
Space-group type ... No. 127
ΔE_f (raw) ... 0.000 eV per atom
Size of the total moment ... 0.000 μB/f.u.

Geometry as POSCAR:
```
RbZn2Sb2
1.0
8.6948 0.0000 0.0000
0.0000 8.6948 0.0000
0.0000 0.0000 3.4206
Sb Zn Rb
4 4 2
Cartesian
1.3693 5.7168 1.7103 Sb
5.7168 7.3255 1.7103 Sb
7.3255 2.9781 1.7103 Sb
2.9781 1.3693 1.7103 Sb
3.2558 7.6032 0.0000 Zn
7.6032 5.4390 0.0000 Zn
5.4390 1.0916 0.0000 Zn
1.0916 3.2558 0.0000 Zn
0.0000 0.0000 0.0000 Rb
4.3474 4.3474 0.0000 Rb
```


# BaFeP2

BaFeP2 after structural relaxation (PBE-GGA, the Alexandria database).

Output
Space-group type ... No. 141
ΔE to the lowest computed polymorph ... 0.0 meV/atom
Size of the total moment ... 0.779 μB/f.u.
Formation enthalpy at 0 K ... -2.3 eV/f.u.

Geometry as POSCAR:
```
BaFeP2
1.0
5.1076 0.0000 0.0000
0.0000 5.1076 0.0000
2.5538 2.5538 6.9579
P Ba Fe
4 2 2
Cartesian
2.5545 1.2769 1.7395 P
2.5531 3.8307 1.7395 P
3.8307 5.1069 5.2184 P
6.3845 5.1083 5.2184 P
0.0000 0.0000 0.0000 Ba
5.1076 2.5538 3.4790 Ba
2.5538 2.5538 0.0000 Fe
2.5538 5.1076 3.4790 Fe
```


# Sr6Tl2P

Sr6Tl2P after structural relaxation (PBE-GGA, the Alexandria database).

Output
Space-group type ... No. 14
Size of the total moment ... 0.000 μB/f.u.
Formation enthalpy at 0 K ... -4.2 eV/f.u.

Geometry as POSCAR:
```
Sr6Tl2P
1.0
7.5688 0.0000 -0.0202
0.0000 8.8886 0.0000
0.3221 0.0000 11.2474
Sr Tl P
12 4 2
Cartesian
1.0039 0.3448 2.8231 Sr
1.3184 2.6896 6.2801 Sr
1.6294 2.9476 10.5872 Sr
2.6382 7.3919 6.2737 Sr
2.9492 7.1339 10.5808 Sr
2.9416 4.7891 2.7905 Sr
6.8871 8.5437 8.4041 Sr
6.5726 6.1989 4.9471 Sr
6.2616 5.9409 0.6400 Sr
5.2528 1.4966 4.9535 Sr
4.9417 1.7547 0.6464 Sr
4.9494 4.0995 8.4367 Sr
0.5834 5.3655 8.3709 Tl
3.6842 0.9213 8.4901 Tl
4.2067 7.9673 2.7371 Tl
7.3076 3.5230 2.8563 Tl
3.7844 4.4443 -0.0101 P
0.1611 0.0000 5.6237 P
```


# BiSbS3

BiSbS3 after structural relaxation (PBE-GGA, the Alexandria database).

Output
Space-group type ... No. 221
ΔE_f (raw) ... 0.559 eV per atom
ΔE to the lowest computed polymorph ... 864.4 meV/atom
Size of the total moment ... 0.000 μB/f.u.

Geometry as POSCAR:
```
BiSbS3
1.0
5.1640 0.0000 0.0000
0.0000 5.1640 0.0000
0.0000 0.0000 5.1640
Sb S Bi
1 3 1
Cartesian
2.5820 2.5820 2.5820 Sb
0.0000 2.5820 0.0000 S
0.0000 0.0000 2.5820 S
2.5820 0.0000 0.0000 S
0.0000 0.0000 0.0000 Bi
```


# HfSbNF2

HfSbNF2 after structural relaxation (PBE-GGA, the Alexandria database).

Output
Space-group type ... No. 123
ΔE_f (raw) ... -1.481 eV per atom
ΔE to the lowest computed polymorph ... 0.0 meV/atom
Size of the total moment ... 0.668 μB/f.u.

Geometry as POSCAR:
```
HfSbNF2
1.0
-1.9948 -3.6141 -0.7512
0.4879 -1.1045 4.0184
-3.7938 1.8902 0.9803
Sb N Hf F
1 1 1 2
Cartesian
-2.6503 -1.4142 2.1237 Sb
-1.8969 0.9451 0.4901 N
0.0000 0.0000 0.0000 Hf
0.2440 -0.5523 2.0092 F
-0.9974 -1.8071 -0.3756 F
```


# Ac2BeSe4

Ac2BeSe4 after structural relaxation (PBE-GGA, the Alexandria database).

Output
Space-group type ... No. 11
ΔE_f (raw) ... -1.654 eV per atom
Size of the total moment ... 0.000 μB/f.u.

Geometry as POSCAR:
```
Ac2BeSe4
1.0
6.7324 0.0000 -0.1289
0.0000 6.8599 0.0000
-2.6254 0.0000 8.2566
Ac Be Se
4 2 8
Cartesian
4.7202 5.1450 0.3371 Ac
-0.6132 1.7150 7.7906 Ac
0.4125 1.7150 3.5124 Ac
3.6945 5.1450 4.6152 Ac
1.3422 5.1450 1.6338 Be
2.7648 1.7150 6.4939 Be
2.6645 3.4257 2.1066 Se
-1.7017 5.1450 7.6371 Se
5.8087 1.7150 0.4906 Se
2.6645 0.0042 2.1066 Se
4.5237 1.7150 5.0416 Se
1.4425 6.8557 6.0211 Se
1.4425 3.4342 6.0211 Se
-0.4167 5.1450 3.0861 Se
```


# V2AgAs2

V2AgAs2 after structural relaxation (PBE-GGA, the Alexandria database).

Output
Space-group type ... No. 127
ΔE to the lowest computed polymorph ... 2.1 meV/atom
Size of the total moment ... 0.001 μB/f.u.
Formation enthalpy at 0 K ... -0.6 eV/f.u.

Geometry as POSCAR:
```
V2AgAs2
1.0
7.1056 0.0000 0.0000
0.0000 7.1056 0.0000
0.0000 0.0000 3.1130
As Ag V
4 2 4
Cartesian
2.4830 6.0358 0.0000 As
6.0358 4.6226 0.0000 As
4.6226 1.0698 0.0000 As
1.0698 2.4830 0.0000 As
0.0000 0.0000 0.0000 Ag
3.5528 3.5528 0.0000 Ag
0.9657 4.5185 1.5565 V
4.5185 6.1399 1.5565 V
6.1399 2.5871 1.5565 V
2.5871 0.9657 1.5565 V
```


# CaZnGe2O6

CaZnGe2O6 after structural relaxation (PBE-GGA, the Alexandria database).

Output
Space-group type ... No. 15
ΔE_f (raw) ... -1.945 eV per atom
ΔE to the lowest computed polymorph ... 0.0 meV/atom
Size of the total moment ... 0.000 μB/f.u.

Geometry as POSCAR:
```
CaZnGe2O6
1.0
6.8797 0.0004 -0.0044
0.8516 6.8268 -0.0044
1.1010 0.9722 5.3110
Ca Zn Ge O
2 2 4 12
Cartesian
5.8780 2.7991 3.9788 Ca
2.9543 5.0004 1.3234 Ca
2.2390 6.9200 3.9788 Zn
6.5933 0.8794 1.3234 Zn
2.4586 3.3633 4.1104 Ge
5.7412 6.2620 3.8473 Ge
6.3737 4.4361 1.1918 Ge
3.0912 1.5375 1.4549 Ge
3.5223 2.7443 2.7414 O
6.2238 5.1299 5.2163 O
5.3100 5.0551 2.5608 O
2.6085 2.6695 0.0859 O
4.5532 0.8535 0.8189 O
6.8715 2.9007 1.8278 O
4.2792 6.9460 4.4833 O
1.9608 4.8987 3.4744 O
1.2333 2.2145 4.5952 O
7.0328 7.3357 3.3625 O
7.5990 5.5850 0.7070 O
1.7996 0.4637 1.9397 O
```


# OsRhW2

OsRhW2 after structural relaxation (PBE-GGA, the Alexandria database).

Output
Space-group type ... No. 122
ΔE to the lowest computed polymorph ... 1448.3 meV/atom
Size of the total moment ... 0.000 μB/f.u.
Formation enthalpy at 0 K ... 5.5 eV/f.u.

Geometry as POSCAR:
```
OsRhW2
1.0
5.9298 0.0000 0.0000
0.0000 5.9298 0.0000
2.9649 2.9649 5.0934
Rh Os W
2 2 4
Cartesian
2.9649 2.9649 0.0000 Rh
2.9649 5.9298 2.5467 Rh
0.0000 0.0000 0.0000 Os
5.9298 2.9649 2.5467 Os
4.4389 1.4825 1.2734 W
1.4909 4.4474 1.2734 W
4.4474 4.4558 3.8201 W
7.4123 7.4038 3.8201 W
```


# Pr5NdPd2

Pr5NdPd2 after structural relaxation (PBE-GGA, the Alexandria database).

Output
Space-group type ... No. 63
Size of the total moment ... 0.000 μB/f.u.
Formation enthalpy at 0 K ... -2.4 eV/f.u.

Geometry as POSCAR:
```
Pr5NdPd2
1.0
3.9988 0.0000 0.0000
-1.9994 6.4059 0.0000
0.0000 0.0000 19.2420
Pr Nd Pd
10 2 4
Cartesian
1.9994 5.6056 17.0632 Pr
1.9994 5.6056 11.7998 Pr
0.0000 4.5401 8.8703 Pr
0.0000 4.5401 0.7507 Pr
1.9994 1.7130 4.8105 Pr
0.0000 4.6929 14.4315 Pr
1.9994 1.8658 10.3717 Pr
1.9994 1.8658 18.4912 Pr
0.0000 0.8004 2.1788 Pr
0.0000 0.8004 7.4422 Pr
1.9994 1.7164 14.4315 Nd
0.0000 4.6895 4.8105 Nd
1.9994 3.5006 7.0652 Pd
1.9994 3.5006 2.5558 Pd
0.0000 2.9053 12.1767 Pd
0.0000 2.9053 16.6862 Pd
```


# Er3MgPb2C

Er3MgPb2C after structural relaxation (PBE-GGA, the Alexandria database).

Output
Space-group type ... No. 71
Size of the total moment ... 0.000 μB/f.u.
Formation enthalpy at 0 K ... -2.8 eV/f.u.

Geometry as POSCAR:
```
Er3MgPb2C
1.0
4.4572 0.0000 0.0000
0.0000 4.8074 0.0000
-2.2286 -2.4037 8.0093
Er Mg Pb C
3 1 2 1
Cartesian
0.0000 2.4037 0.0000 Er
0.0000 0.0000 2.4574 Er
2.2286 2.4037 5.5519 Er
2.2286 0.0000 0.0000 Mg
2.2286 2.4037 2.3284 Pb
0.0000 0.0000 5.6810 Pb
0.0000 0.0000 0.0000 C
```


# TbHo3Pt3

TbHo3Pt3 after structural relaxation (PBE-GGA, the Alexandria database).

Output
Space-group type ... No. 12
Size of the total moment ... 0.000 μB/f.u.
Formation enthalpy at 0 K ... -7.2 eV/f.u.

Geometry as POSCAR:
```
TbHo3Pt3
1.0
-5.6768 3.4824 1.9634
-3.1954 -5.8297 -2.0029
0.7948 -2.5762 6.5457
Tb Ho Pt
2 6 6
Cartesian
-5.8353 -4.0201 5.7879 Tb
-2.2422 -0.9034 0.7183 Tb
-5.6215 -2.5547 2.4812 Ho
-3.2369 -5.4707 1.9715 Ho
-4.8405 0.5472 4.5347 Ho
-3.8049 -3.5424 -1.0286 Ho
-5.0673 1.1951 0.9891 Ho
-2.4560 -2.3687 4.0249 Ho
-8.1951 -2.7148 1.2469 Pt
-6.6180 -1.3572 5.6338 Pt
-5.4241 -5.8379 3.7254 Pt
-1.4594 -3.5663 0.8724 Pt
-2.6533 0.9144 2.7808 Pt
0.1176 -2.2087 5.2593 Pt
```


# PrGe2Ir

PrGe2Ir after structural relaxation (PBE-GGA, the Alexandria database).

Output
Space-group type ... No. 166
Size of the total moment ... 0.000 μB/f.u.
Formation enthalpy at 0 K ... 0.3 eV/f.u.

Geometry as POSCAR:
```
PrGe2Ir
1.0
4.0508 0.0000 0.0000
2.0254 3.5081 0.0000
2.0254 1.1694 7.5991
Pr Ge Ir
1 2 1
Cartesian
0.0000 0.0000 0.0000 Pr
2.0254 1.1694 4.6684 Ge
6.0763 3.5081 2.9307 Ge
4.0508 2.3388 3.7995 Ir
```


# ZnNiSn2

ZnNiSn2 after structural relaxation (PBE-GGA, the Alexandria database).

Output
Space-group type ... No. 166
Size of the total moment ... 0.000 μB/f.u.
Formation enthalpy at 0 K ... 0.2 eV/f.u.

Geometry as POSCAR:
```
ZnNiSn2
1.0
3.4109 0.0000 0.0000
1.7055 2.9539 0.0000
1.7055 0.9846 8.6980
Ni Zn Sn
1 1 2
Cartesian
3.4109 1.9693 4.3490 Ni
0.0000 0.0000 0.0000 Zn
1.7055 0.9846 6.0504 Sn
5.1164 2.9539 2.6476 Sn
```


# SmZn5Cu2

SmZn5Cu2 after structural relaxation (PBE-GGA, the Alexandria database).

Output
Space-group type ... No. 71
Size of the total moment ... 0.000 μB/f.u.
Formation enthalpy at 0 K ... -1.7 eV/f.u.

Geometry as POSCAR:
```
SmZn5Cu2
1.0
3.9259 0.0000 0.0000
1.9630 5.9628 -0.0894
1.9630 1.7087 5.7134
Sm Zn Cu
1 5 2
Cartesian
0.0000 0.0000 0.0000 Sm
1.9630 3.8358 2.8120 Zn
3.9259 3.5104 0.8988 Zn
3.9259 4.1611 4.7252 Zn
3.9259 5.7582 2.5467 Zn
3.9259 1.9133 3.0773 Zn
5.8889 5.7887 4.2437 Cu
1.9630 1.8828 1.3803 Cu
```


# TmCuPd6

TmCuPd6 after structural relaxation (PBE-GGA, the Alexandria database).

Output
Space-group type ... No. 123
ΔE to the lowest computed polymorph ... 0.0 meV/atom
Size of the total moment ... 0.000 μB/f.u.
Formation enthalpy at 0 K ... -3.6 eV/f.u.

Geometry as POSCAR:
```
TmCuPd6
1.0
4.0095 0.0000 0.0000
0.0000 4.0095 0.0000
0.0000 0.0000 7.9695
Tm Cu Pd
1 1 6
Cartesian
0.0000 0.0000 0.0000 Tm
0.0000 0.0000 3.9848 Cu
2.0048 2.0048 0.0000 Pd
2.0048 2.0048 3.9848 Pd
2.0048 0.0000 2.0960 Pd
2.0048 0.0000 5.8735 Pd
0.0000 2.0048 2.0960 Pd
0.0000 2.0048 5.8735 Pd
```


# LaPm4Pr4

LaPm4Pr4 after structural relaxation (PBE-GGA, the Alexandria database).

Output
Space-group type ... No. 139
Size of the total moment ... 0.000 μB/f.u.
Formation enthalpy at 0 K ... 0.1 eV/f.u.

Geometry as POSCAR:
```
LaPm4Pr4
1.0
-0.6243 4.6804 2.2467
-6.6757 -0.2965 4.8482
4.1547 0.0509 7.1340
La Pm Pr
1 4 4
Cartesian
0.0000 0.0000 0.0000 La
-0.7068 2.9762 11.8595 Pm
-2.4385 1.4585 2.3693 Pm
2.3485 3.1559 6.2488 Pm
-5.4938 1.2789 7.9799 Pm
-1.2566 3.0415 5.4853 Pr
-1.8887 1.3933 8.7434 Pr
-3.6970 4.4989 7.8565 Pr
0.5517 -0.0641 6.3723 Pr
```